# NaCo2H

A geometry-optimized NaCo2H structure (PBE, Alexandria).

Results
N(E_F)   1.0849 states/eV/atom
Energy above the most stable polymorph in this dataset   0 meV/atom
Calculated density   4.7 g/cm³

Cell: 5.225 5.225 5.225 Å, 60.00 60.00 60.00°
Positions (direct):
Na1 0.125 0.125 0.125
Na2 0.875 0.875 0.875
Co1 0.000 0.500 0.500
Co2 0.500 0.000 0.500
Co3 0.500 0.500 0.000
Co4 0.500 0.500 0.500
H1 0.375 0.375 0.375
H2 0.625 0.625 0.625